Record 1
The following is a DFT calculation (PBE) of a geometry-optimized NdSm2Ni2Pt7 structure.

abc: 9.120 9.120 9.120
angles: 34.63 34.63 34.63
Atoms (fractional coordinates):
Nd 0.000 0.000 0.000
Sm 0.139 0.139 0.139
Sm 0.861 0.861 0.861
Ni 0.333 0.333 0.333
Ni 0.667 0.667 0.667
Pt 0.077 0.582 0.582
Pt 0.418 0.418 0.923
Pt 0.418 0.923 0.418
Pt 0.500 0.500 0.500
Pt 0.582 0.077 0.582
Pt 0.582 0.582 0.077
Pt 0.923 0.418 0.418

Output
DFT total energy: -6.50 eV/atom
ΔE_f: -0.86 eV per atom
Magnetization: 0.96 Bohr magnetons per cell

Record 2
The following is a DFT calculation (PBE) of a geometry-optimized TbTlZnTe3 structure.

abc: 15.825 4.376 11.756
angles: 90.00 90.00 90.00
Atoms (fractional coordinates):
Tb 0.025 0.250 0.158
Tb 0.475 0.750 0.658
Tb 0.525 0.250 0.342
Tb 0.975 0.750 0.842
Tl 0.239 0.250 0.464
Tl 0.261 0.750 0.964
Tl 0.739 0.250 0.036
Tl 0.761 0.750 0.536
Zn 0.017 0.750 0.400
Zn 0.483 0.250 0.900
Zn 0.517 0.750 0.100
Zn 0.983 0.250 0.600
Te 0.086 0.750 0.615
Te 0.101 0.250 0.919
Te 0.145 0.750 0.252
Te 0.355 0.250 0.752
Te 0.399 0.750 0.419
Te 0.414 0.250 0.115
Te 0.586 0.750 0.885
Te 0.601 0.250 0.581
Te 0.645 0.750 0.248
Te 0.855 0.250 0.748
Te 0.899 0.750 0.081
Te 0.914 0.250 0.385

Output
ΔE to the lowest computed polymorph: 0.099 eV/f.u.
DFT total energy: -3.77 eV/atom
Magnetization: 0.00 Bohr magnetons per cell

Record 3
The following is a DFT calculation (PBE) of a geometry-optimized NdHoSe2 structure.

abc: 7.090 4.105 7.274
angles: 90.00 109.07 90.00
Atoms (fractional coordinates):
Nd 0.000 0.000 0.000
Nd 0.500 0.500 0.000
Ho 0.000 0.500 0.500
Ho 0.500 0.000 0.500
Se 0.245 0.000 0.733
Se 0.255 0.500 0.267
Se 0.745 0.500 0.733
Se 0.755 0.000 0.267

Output
DFT total energy: -5.86 eV/atom
Magnetization: 0.01 Bohr magnetons per cell

Record 4
The following is a DFT calculation (PBE) of a geometry-optimized CoSN structure.

abc: 2.855 4.958 4.964
angles: 90.00 90.00 90.00
Atoms (fractional coordinates):
Co 0.000 0.228 0.000
Co 0.000 0.772 0.500
S 0.000 0.356 0.400
S 0.000 0.644 0.900
N 0.000 0.130 0.628
N 0.000 0.870 0.128

Output
ΔE to the lowest computed polymorph: 0.020 eV/f.u.
DFT total energy: -6.37 eV/atom
Magnetization: 0.08 Bohr magnetons per cell

Record 5
The following is a DFT calculation (PBE) of a geometry-optimized PrTmGe4Os2 structure.

abc: 4.477 4.429 8.330
angles: 90.00 104.48 90.00
Atoms (fractional coordinates):
Pr 0.000 0.000 0.000
Tm 0.769 0.500 0.581
Ge 0.077 0.500 0.305
Ge 0.349 0.000 0.708
Ge 0.434 0.500 0.883
Ge 0.722 0.000 0.295
Os 0.291 0.000 0.415
Os 0.509 0.500 0.182

Output
DFT total energy: -6.73 eV/atom
Magnetization: 0.00 Bohr magnetons per cell

Record 6
The following is a DFT calculation (PBE) of a geometry-optimized LiHoMo structure.

abc: 6.597 6.597 6.597
angles: 90.00 90.00 90.00
Atoms (fractional coordinates):
Li 0.000 0.000 0.000
Li 0.000 0.500 0.500
Li 0.500 0.000 0.500
Li 0.500 0.500 0.000
Ho 0.250 0.250 0.250
Ho 0.250 0.750 0.750
Ho 0.750 0.250 0.750
Ho 0.750 0.750 0.250
Mo 0.000 0.000 0.500
Mo 0.000 0.500 0.000
Mo 0.500 0.000 0.000
Mo 0.500 0.500 0.500

Output
ΔE to the lowest computed polymorph: 0.902 eV/f.u.
DFT total energy: -4.43 eV/atom
Magnetization: 10.21 Bohr magnetons per cell

Record 7
The following is a DFT calculation (PBE) of a geometry-optimized BeTlCuW structure.

abc: 6.211 6.211 6.211
angles: 90.00 90.00 90.00
Atoms (fractional coordinates):
Be 0.000 0.000 0.000
Be 0.000 0.500 0.500
Be 0.500 0.000 0.500
Be 0.500 0.500 0.000
Tl 0.250 0.250 0.250
Tl 0.250 0.750 0.750
Tl 0.750 0.250 0.750
Tl 0.750 0.750 0.250
Cu 0.000 0.000 0.500
Cu 0.000 0.500 0.000
Cu 0.500 0.000 0.000
Cu 0.500 0.500 0.500
W 0.250 0.250 0.750
W 0.250 0.750 0.250
W 0.750 0.250 0.250
W 0.750 0.750 0.750

Output
ΔE to the lowest computed polymorph: 0.000 eV/f.u.
DFT total energy: -4.79 eV/atom
Magnetization: 6.51 Bohr magnetons per cell

Record 8
The following is a DFT calculation (PBE) of a geometry-optimized Na2TlMo structure.

abc: 7.070 7.070 7.070
angles: 90.00 90.00 90.00
Atoms (fractional coordinates):
Na 0.000 0.000 0.000
Na 0.000 0.500 0.500
Na 0.250 0.250 0.250
Na 0.250 0.750 0.750
Na 0.500 0.000 0.500
Na 0.500 0.500 0.000
Na 0.750 0.250 0.750
Na 0.750 0.750 0.250
Tl 0.000 0.000 0.500
Tl 0.000 0.500 0.000
Tl 0.500 0.000 0.000
Tl 0.500 0.500 0.500
Mo 0.250 0.250 0.750
Mo 0.250 0.750 0.250
Mo 0.750 0.250 0.250
Mo 0.750 0.750 0.750

Output
DFT total energy: -3.21 eV/atom
Magnetization: 11.79 Bohr magnetons per cell

Record 9
The following is a DFT calculation (PBE) of a geometry-optimized LuFe structure.

abc: 5.495 5.495 5.495
angles: 90.00 90.00 90.00
Atoms (fractional coordinates):
Lu 0.000 0.000 0.000
Lu 0.000 0.500 0.500
Lu 0.500 0.000 0.500
Lu 0.500 0.500 0.000
Fe 0.000 0.000 0.500
Fe 0.000 0.500 0.000
Fe 0.500 0.000 0.000
Fe 0.500 0.500 0.500

Output
DFT total energy: -5.89 eV/atom
ΔE_f: 0.53 eV per atom
Magnetization: 6.49 Bohr magnetons per cell

Record 10
The following is a DFT calculation (PBE) of a geometry-optimized HfMoP2 structure.

abc: 3.685 3.685 11.354
angles: 90.00 90.00 120.00
Atoms (fractional coordinates):
Hf 0.000 0.000 0.146
Hf 0.000 0.000 0.854
Mo 0.333 0.667 0.369
Mo 0.333 0.667 0.631
P 0.000 0.000 0.500
P 0.333 0.667 0.000
P 0.667 0.333 0.270
P 0.667 0.333 0.730

Output
ΔE to the lowest computed polymorph: 0.000 eV/f.u.
DFT total energy: -8.65 eV/atom
Magnetization: 1.21 Bohr magnetons per cell

Record 11
The following is a DFT calculation (PBE) of a geometry-optimized LiAgGeTe3 structure.

abc: 7.408 7.408 11.668
angles: 90.00 90.00 151.16
Atoms (fractional coordinates):
Li 0.228 0.772 0.750
Li 0.772 0.228 0.250
Ag 0.446 0.554 0.250
Ag 0.554 0.446 0.750
Ge 0.000 0.000 0.000
Ge 0.000 0.000 0.500
Te 0.097 0.903 0.250
Te 0.351 0.649 0.044
Te 0.351 0.649 0.456
Te 0.649 0.351 0.544
Te 0.649 0.351 0.956
Te 0.903 0.097 0.750

Output
DFT total energy: -3.29 eV/atom

Record 12
The following is a DFT calculation (PBE) of a geometry-optimized Ni9As structure.

abc: 2.519 2.519 47.077
angles: 90.00 90.00 90.00
Atoms (fractional coordinates):
Ni 0.250 0.250 0.018
Ni 0.250 0.250 0.091
Ni 0.250 0.250 0.163
Ni 0.250 0.250 0.235
Ni 0.250 0.250 0.309
Ni 0.250 0.250 0.729
Ni 0.250 0.250 0.801
Ni 0.250 0.250 0.873
Ni 0.250 0.250 0.946
Ni 0.750 0.750 0.054
Ni 0.750 0.750 0.127
Ni 0.750 0.750 0.199
Ni 0.750 0.750 0.271
Ni 0.750 0.750 0.691
Ni 0.750 0.750 0.765
Ni 0.750 0.750 0.837
Ni 0.750 0.750 0.909
Ni 0.750 0.750 0.982
As 0.250 0.250 0.653
As 0.750 0.750 0.347

Output
ΔE to the lowest computed polymorph: 0.509 eV/f.u.
DFT total energy: -5.42 eV/atom
Magnetization: 4.89 Bohr magnetons per cell

Q: What is the formula in the fifth record?
A: PrTmGe4Os2

Q: The lowest DFT total energy belongs to which entry?
A: HfMoP2

Q: DFT total energy of number 8 (Na2TlMo)?
A: -3.21 eV/atom

Q: Number 10 is which compound?
A: HfMoP2